(A)
Ag2BTe after structural relaxation, computed with PBE.

a = 4.7808 Å, b = 4.7808 Å, c = 4.7808 Å
α = 60.00°, β = 60.00°, γ = 60.00°
Last column: nearest neighbours and their distance in Å.
Sites, in units of the cell vectors:
B  0.0000  0.0000  0.0000  8 Ag 2.93
Te  0.5000  0.5000  0.5000  8 Ag 2.93
Ag  0.2500  0.2500  0.2500  4 Te 2.93, 4 B 2.93
Ag  0.7500  0.7500  0.7500  4 Te 2.93, 4 B 2.93

density of states at the Fermi level: 0.2702 states/eV/atom
SG: Fm-3m, No. 225

***

(B)
Ag2BTe after structural relaxation, computed with PBE.

a = 4.8269 Å, b = 4.8269 Å, c = 8.0306 Å
α = 72.51°, β = 72.51°, γ = 90.00°
Last column: nearest neighbours and their distance in Å.
Sites, in units of the cell vectors:
B  0.5000  0.5000  0.0000  4 Ag 2.28
B  0.2500  0.7500  0.5000  4 Ag 2.28
Te  0.0000  0.0000  0.0000  4 Ag 2.79
Te  0.7500  0.2500  0.5000  4 Ag 2.79
Ag  0.5143  0.1250  0.2500  2 B 2.28
Ag  0.2357  0.6250  0.2500  2 B 2.28
Ag  0.3750  0.4857  0.7500  2 B 2.28
Ag  0.8750  0.7643  0.7500  2 B 2.28

density of states at the Fermi level: 0.6981 states/eV/atom
SG: I-42d, No. 122

***

Most stable structure: (B)

***

(A)
Ti3AgB after structural relaxation, computed with PBE.

a = 4.7730 Å, b = 4.7730 Å, c = 4.7730 Å
α = 90.00°, β = 90.00°, γ = 90.00°
Last column: nearest neighbours and their distance in Å.
Sites, in units of the cell vectors:
B  0.5000  0.5000  0.5000  12 Ti 3.38
Ag  0.0000  0.0000  0.0000  6 Ti 2.39
Ti  0.0000  0.5000  0.0000  2 Ag 2.39
Ti  0.0000  0.0000  0.5000  2 Ag 2.39
Ti  0.5000  0.0000  0.0000  2 Ag 2.39

density of states at the Fermi level: 0.7284 states/eV/atom
SG: Pm-3m, No. 221

***

(B)
Ti3AgB after structural relaxation, computed with PBE.

a = 4.2953 Å, b = 4.2953 Å, c = 4.2953 Å
α = 90.00°, β = 90.00°, γ = 90.00°
Last column: nearest neighbours and their distance in Å.
Sites, in units of the cell vectors:
B  0.0000  0.0000  0.0000  6 Ti 2.15
Ag  0.5000  0.5000  0.5000  12 Ti 3.04
Ti  0.0000  0.5000  0.0000  2 B 2.15
Ti  0.0000  0.0000  0.5000  2 B 2.15
Ti  0.5000  0.0000  0.0000  2 B 2.15

density of states at the Fermi level: 0.6260 states/eV/atom
SG: Pm-3m, No. 221

***

Most stable structure: (B)

***

(A)
TiAgB2 after structural relaxation, computed with PBE.

a = 3.7514 Å, b = 3.7514 Å, c = 8.0710 Å
α = 76.56°, β = 76.56°, γ = 90.00°
Last column: nearest neighbours and their distance in Å.
Sites, in units of the cell vectors:
B  0.8748  0.1250  0.2500  2 B 1.88
B  0.8752  0.6250  0.2500  2 B 1.88
B  0.3750  0.1252  0.7500  2 B 1.88
B  0.8750  0.1248  0.7500  2 B 1.88
Ag  0.0000  0.0000  0.0000  4 B 2.12
Ag  0.7500  0.2500  0.5000  4 B 2.12
Ti  0.5000  0.5000  0.0000  4 Ag 2.65, 8 B 2.83
Ti  0.2500  0.7500  0.5000  4 Ag 2.65, 8 B 2.83

density of states at the Fermi level: 1.0384 states/eV/atom
SG: I4_1/amd, No. 141

***

(B)
TiAgB2 after structural relaxation, computed with PBE.

a = 4.0152 Å, b = 4.0152 Å, c = 4.0152 Å
α = 60.00°, β = 60.00°, γ = 60.00°
Last column: nearest neighbours and their distance in Å.
Sites, in units of the cell vectors:
B  0.2500  0.2500  0.2500  4 Ti 2.46, 4 Ag 2.46
B  0.7500  0.7500  0.7500  4 Ti 2.46, 4 Ag 2.46
Ag  0.5000  0.5000  0.5000  8 B 2.46
Ti  0.0000  0.0000  0.0000  8 B 2.46

density of states at the Fermi level: 0.7958 states/eV/atom
SG: Fm-3m, No. 225

***

Most stable structure: (B)

***

(A)
TiAgB3 after structural relaxation, computed with PBE.

a = 4.0867 Å, b = 4.0867 Å, c = 4.0867 Å
α = 90.00°, β = 90.00°, γ = 90.00°
Last column: nearest neighbours and their distance in Å.
Sites, in units of the cell vectors:
B  0.0000  0.5000  0.0000  2 Ag 2.04
B  0.0000  0.0000  0.5000  2 Ag 2.04
B  0.5000  0.0000  0.0000  2 Ag 2.04
Ag  0.0000  0.0000  0.0000  6 B 2.04
Ti  0.5000  0.5000  0.5000  12 B 2.89

density of states at the Fermi level: 0.6535 states/eV/atom
SG: Pm-3m, No. 221

***

(B)
TiAgB3 after structural relaxation, computed with PBE.

a = 4.1686 Å, b = 4.1686 Å, c = 4.1686 Å
α = 90.00°, β = 90.00°, γ = 90.00°
Last column: nearest neighbours and their distance in Å.
Sites, in units of the cell vectors:
B  0.0000  0.5000  0.0000  2 Ti 2.08
B  0.0000  0.0000  0.5000  2 Ti 2.08
B  0.5000  0.0000  0.0000  2 Ti 2.08
Ag  0.5000  0.5000  0.5000  12 B 2.95
Ti  0.0000  0.0000  0.0000  6 B 2.08

density of states at the Fermi level: 0.5773 states/eV/atom
SG: Pm-3m, No. 221

***

Most stable structure: (B)